First-principles (PBE) data for crystalline Y5Sb4Se at its relaxed geometry, as listed in Alexandria.

Summary:
symmetry: Immm (71)
uncorrected formation energy: -1.296 eV per atom
excess energy over the best structure of this formula in the dataset: 0.0 kJ per mole of atoms
calculated volume: 28.8 A^3/atom

a = 11.4747 Å, b = 11.4747 Å, c = 11.4747 Å
α = 158.25°, β = 148.96°, γ = 38.22°
Positions (direct):
Y1 0.0000 0.0000 0.0000
Y2 0.2010 0.2010 0.0000
Y3 0.4033 0.4033 0.0000
Y4 0.5967 0.5967 0.0000
Y5 0.7990 0.7990 0.0000
Sb1 0.0993 0.5993 0.5000
Sb2 0.3028 0.8028 0.5000
Sb3 0.6972 0.1972 0.5000
Sb4 0.9007 0.4007 0.5000
Se1 0.5000 0.0000 0.5000

***

First-principles (PBE) data for crystalline NdSm5ErTh2 at its relaxed geometry, as listed in Alexandria.

Summary:
symmetry: I4/mcm (140)
calculated volume: 34.5 A^3/atom

a = 10.0258 Å, b = 10.0258 Å, c = 10.0258 Å
α = 127.14°, β = 127.14°, γ = 78.02°
Positions (direct):
Nd1 0.2500 0.2500 0.0000
Nd2 0.7500 0.7500 0.0000
Sm1 0.0000 0.0000 0.0000
Sm2 0.0711 0.5711 0.9179
Sm3 0.1532 0.0711 0.5000
Sm4 0.3468 0.8468 0.9179
Sm5 0.4289 0.3468 0.5000
Sm6 0.5000 0.5000 0.0000
Sm7 0.5711 0.6532 0.5000
Sm8 0.6532 0.1532 0.0821
Sm9 0.8468 0.9289 0.5000
Sm10 0.9289 0.4289 0.0821
Er1 0.2500 0.7500 0.5000
Er2 0.7500 0.2500 0.5000
Th1 0.1191 0.3809 0.5000
Th2 0.3809 0.8809 0.2618
Th3 0.6191 0.1191 0.7382
Th4 0.8809 0.6191 0.5000

***

First-principles (PBE) data for crystalline ZnBSb2Te at its relaxed geometry, as listed in Alexandria.

Summary:
symmetry: P4/mmm (123)
uncorrected formation energy: 1.367 eV per atom
excess energy over the best structure of this formula in the dataset: 59.8 kJ per mole of atoms
calculated volume: 28.7 A^3/atom

a = 5.1348 Å, b = 5.1348 Å, c = 5.4471 Å
α = 90.00°, β = 90.00°, γ = 90.00°
Positions (direct):
Zn1 0.0000 0.0000 0.0000
B1 0.5000 0.5000 0.5000
Sb1 0.0000 0.5000 0.0000
Sb2 0.5000 0.0000 0.0000
Te1 0.0000 0.0000 0.5000

***

First-principles (PBE) data for crystalline Ba2GaH at its relaxed geometry, as listed in Alexandria.

Summary:
symmetry: P4/mmm (123)
excess energy over the best structure of this formula in the dataset: 2.4 kJ per mole of atoms
calculated volume: 29.6 A^3/atom

a = 3.8016 Å, b = 3.8016 Å, c = 8.1832 Å
α = 90.00°, β = 90.00°, γ = 90.00°
Positions (direct):
Ba1 0.0000 0.0000 0.2359
Ba2 0.0000 0.0000 0.7641
Ga1 0.5000 0.5000 0.5000
H1 0.5000 0.5000 0.0000

***

First-principles (PBE) data for crystalline CsFeAgBr4 at its relaxed geometry, as listed in Alexandria.

Summary:
symmetry: P2_1/m (11)
uncorrected formation energy: -0.789 eV per atom
calculated volume: 34.6 A^3/atom

a = 6.4727 Å, b = 7.8078 Å, c = 10.0813 Å
α = 90.00°, β = 108.27°, γ = 90.00°
Positions (direct):
Cs1 0.1893 0.2500 0.3980
Cs2 0.8107 0.7500 0.6020
Fe1 0.3277 0.7500 0.1955
Fe2 0.6723 0.2500 0.8045
Ag1 0.3691 0.2500 0.9874
Ag2 0.6309 0.7500 0.0126
Br1 0.0292 0.7500 0.9802
Br2 0.2150 0.7500 0.4043
Br3 0.4313 0.0022 0.7929
Br4 0.4313 0.4978 0.7929
Br5 0.5687 0.5022 0.2071
Br6 0.5687 0.9978 0.2071
Br7 0.7850 0.2500 0.5957
Br8 0.9708 0.2500 0.0198

***

First-principles (PBE) data for crystalline PmGeHPt at its relaxed geometry, as listed in Alexandria.

Summary:
symmetry: P-6m2 (187)
calculated volume: 16.4 A^3/atom

a = 4.4678 Å, b = 4.4678 Å, c = 3.7954 Å
α = 90.00°, β = 90.00°, γ = 120.00°
Positions (direct):
Pm1 0.0000 0.0000 0.0000
Ge1 0.3333 0.6667 0.5000
H1 0.6667 0.3333 0.0000
Pt1 0.6667 0.3333 0.5000

***

First-principles (PBE) data for crystalline ZrBeCr2 at its relaxed geometry, as listed in Alexandria.

Summary:
symmetry: Pmmm (47)
calculated volume: 14.1 A^3/atom

a = 3.2027 Å, b = 4.1871 Å, c = 4.1912 Å
α = 90.00°, β = 90.00°, γ = 90.00°
Positions (direct):
Zr1 0.0000 0.0000 0.0000
Be1 0.5000 0.5000 0.0000
Cr1 0.0000 0.5000 0.5000
Cr2 0.5000 0.0000 0.5000

***

First-principles (PBE) data for crystalline Dy4TlInTe2 at its relaxed geometry, as listed in Alexandria.

Summary:
symmetry: P2/m (10)
uncorrected formation energy: -0.817 eV per atom
calculated volume: 29.6 A^3/atom

a = 7.1933 Å, b = 4.1691 Å, c = 8.2526 Å
α = 90.00°, β = 107.03°, γ = 90.00°
Positions (direct):
Dy1 0.2479 0.0000 0.2460
Dy2 0.2507 0.5000 0.7539
Dy3 0.7493 0.5000 0.2461
Dy4 0.7521 0.0000 0.7540
Tl1 0.5000 0.5000 0.5000
In1 0.0000 0.0000 0.5000
Te1 0.0000 0.5000 0.0000
Te2 0.5000 0.0000 0.0000

***

First-principles (PBE) data for crystalline Dy4NiTe3 at its relaxed geometry, as listed in Alexandria.

Summary:
symmetry: Cmmm (65)
uncorrected formation energy: -1.059 eV per atom
calculated volume: 28.0 A^3/atom

a = 7.5417 Å, b = 7.5417 Å, c = 4.1361 Å
α = 90.00°, β = 90.00°, γ = 107.98°
Positions (direct):
Dy1 0.2070 0.2070 0.5000
Dy2 0.2312 0.7688 0.0000
Dy3 0.7688 0.2312 0.0000
Dy4 0.7930 0.7930 0.5000
Ni1 0.0000 0.0000 0.0000
Te1 0.0000 0.5000 0.5000
Te2 0.5000 0.0000 0.5000
Te3 0.5000 0.5000 0.0000

***

First-principles (PBE) data for crystalline Ca2TiZnAu6 at its relaxed geometry, as listed in Alexandria.

Summary:
symmetry: Fm-3m (225)
calculated volume: 24.8 A^3/atom

a = 7.0484 Å, b = 7.0484 Å, c = 7.0484 Å
α = 60.00°, β = 60.00°, γ = 60.00°
Positions (direct):
Ca1 0.2500 0.2500 0.2500
Ca2 0.7500 0.7500 0.7500
Ti1 0.0000 0.0000 0.0000
Zn1 0.5000 0.5000 0.5000
Au1 0.2520 0.2520 0.7480
Au2 0.2520 0.7480 0.2520
Au3 0.2520 0.7480 0.7480
Au4 0.7480 0.2520 0.2520
Au5 0.7480 0.2520 0.7480
Au6 0.7480 0.7480 0.2520

***

First-principles (PBE) data for crystalline SiNi at its relaxed geometry, as listed in Alexandria.

Summary:
symmetry: P2_13 (198)
uncorrected formation energy: -0.401 eV per atom
calculated volume: 11.5 A^3/atom

a = 4.5155 Å, b = 4.5155 Å, c = 4.5155 Å
α = 90.00°, β = 90.00°, γ = 90.00°
Positions (direct):
Si1 0.1535 0.3465 0.6535
Si2 0.3465 0.6535 0.1535
Si3 0.6535 0.1535 0.3465
Si4 0.8465 0.8465 0.8465
Ni1 0.1488 0.1488 0.1488
Ni2 0.3512 0.8512 0.6488
Ni3 0.6488 0.3512 0.8512
Ni4 0.8512 0.6488 0.3512

***

First-principles (PBE) data for crystalline PtRhC2 at its relaxed geometry, as listed in Alexandria.

Summary:
symmetry: Fm-3m (225)
excess energy over the best structure of this formula in the dataset: 99.6 kJ per mole of atoms
calculated volume: 10.5 A^3/atom

a = 3.9012 Å, b = 3.9012 Å, c = 3.9012 Å
α = 60.00°, β = 60.00°, γ = 60.00°
Positions (direct):
Pt1 0.0000 0.0000 0.0000
Rh1 0.5000 0.5000 0.5000
C1 0.2500 0.2500 0.2500
C2 0.7500 0.7500 0.7500

***

Record-wise electronic total energy values, in eV/cell: -65.25 -89.54 -12.50 -10.96 -48.77 -22.16 -30.51 -36.33 -42.09 -34.89 -48.03 -24.81